Record 1
First-principles (PBE) data for DyHoGa2Pt4 after structural relaxation, as listed in the Open Quantum Materials Database.

Computed properties:
energy above the most stable polymorph in this dataset = 171.3 meV/atom
magnetic moment = 0.0 μB/cell
SG = No. 123
final energy = -5.830 eV per atom

a = 4.6927 Å, b = 4.6927 Å, c = 6.6391 Å
α = 90.00°, β = 90.00°, γ = 90.00°
Atoms (fractional coordinates):
Dy (0.0000, 0.0000, 0.0000)
Ho (0.5000, 0.5000, 0.5000)
Ga (0.0000, 0.0000, 0.5000)
Ga (0.5000, 0.5000, 0.0000)
Pt (0.0000, 0.5000, 0.2508)
Pt (0.0000, 0.5000, 0.7492)
Pt (0.5000, 0.0000, 0.2508)
Pt (0.5000, 0.0000, 0.7492)

Record 2
First-principles (PBE) data for DyHoGa2Pt4 after structural relaxation, as listed in the Open Quantum Materials Database.

Computed properties:
energy above the most stable polymorph in this dataset = 0.0 meV/atom
magnetic moment = 0.0 μB/cell
SG = No. 187
final energy = -6.002 eV per atom

a = 4.3821 Å, b = 4.3821 Å, c = 9.0880 Å
α = 90.00°, β = 90.00°, γ = 120.00°
Atoms (fractional coordinates):
Dy (0.0000, 0.0000, 0.0000)
Ho (0.3333, 0.6667, 0.5000)
Ga (0.6667, 0.3333, 0.2502)
Ga (0.6667, 0.3333, 0.7498)
Pt (0.0000, 0.0000, 0.3366)
Pt (0.0000, 0.0000, 0.6634)
Pt (0.3333, 0.6667, 0.1648)
Pt (0.3333, 0.6667, 0.8352)

Record 3
First-principles (PBE) data for SmDy2HoGa2 after structural relaxation, as listed in the Open Quantum Materials Database.

Computed properties:
magnetic moment = 0.1 μB/cell
SG = No. 187
final energy = -4.478 eV per atom

a = 5.1797 Å, b = 5.1797 Å, c = 6.6175 Å
α = 90.00°, β = 90.00°, γ = 120.00°
Atoms (fractional coordinates):
Sm (0.0000, 0.0000, 0.0000)
Dy (0.6667, 0.3333, 0.2541)
Dy (0.6667, 0.3333, 0.7459)
Ho (0.3333, 0.6667, 0.5000)
Ga (0.0000, 0.0000, 0.5000)
Ga (0.3333, 0.6667, 0.0000)

Record 4
First-principles (PBE) data for DyHo2TmGa4 after structural relaxation, as listed in the Open Quantum Materials Database.

Computed properties:
magnetic moment = 0.0 μB/cell
SG = No. 38
final energy = -4.422 eV per atom

a = 6.5921 Å, b = 6.9086 Å, c = 6.9086 Å
α = 36.48°, β = 90.00°, γ = 90.00°
Atoms (fractional coordinates):
Dy (0.0000, 0.0000, 0.0000)
Ho (0.0000, 0.2759, 0.2759)
Ho (0.5000, 0.1719, 0.1719)
Tm (0.5000, 0.4466, 0.4466)
Ga (0.1980, 0.6249, 0.6249)
Ga (0.3033, 0.8225, 0.8225)
Ga (0.6967, 0.8225, 0.8225)
Ga (0.8020, 0.6249, 0.6249)

Record 5
First-principles (PBE) data for Dy2HoTmGa4 after structural relaxation, as listed in the Open Quantum Materials Database.

Computed properties:
magnetic moment = 0.0 μB/cell
SG = No. 38
final energy = -4.428 eV per atom

a = 6.5868 Å, b = 6.9663 Å, c = 6.9663 Å
α = 35.95°, β = 90.00°, γ = 90.00°
Atoms (fractional coordinates):
Dy (0.0000, 0.0000, 0.0000)
Dy (0.5000, 0.4477, 0.4477)
Ho (0.0000, 0.2747, 0.2747)
Tm (0.5000, 0.1734, 0.1734)
Ga (0.1982, 0.6261, 0.6261)
Ga (0.3027, 0.8214, 0.8214)
Ga (0.6973, 0.8214, 0.8214)
Ga (0.8018, 0.6261, 0.6261)

Record 6
First-principles (PBE) data for DyHoTm2Ga4 after structural relaxation, as listed in the Open Quantum Materials Database.

Computed properties:
magnetic moment = 0.0 μB/cell
SG = No. 38
final energy = -4.405 eV per atom

a = 6.5860 Å, b = 6.8404 Å, c = 6.8404 Å
α = 37.03°, β = 90.00°, γ = 90.00°
Atoms (fractional coordinates):
Dy (0.0000, 0.0000, 0.0000)
Ho (0.5000, 0.1078, 0.1078)
Tm (0.0000, 0.2763, 0.2763)
Tm (0.5000, 0.8318, 0.8318)
Ga (0.1972, 0.6540, 0.6540)
Ga (0.3038, 0.4543, 0.4543)
Ga (0.6962, 0.4543, 0.4543)
Ga (0.8028, 0.6540, 0.6540)

Record 7
First-principles (PBE) data for Dy2YHoGa4 after structural relaxation, as listed in the Open Quantum Materials Database.

Computed properties:
magnetic moment = 0.0 μB/cell
SG = No. 38
final energy = -4.686 eV per atom

a = 6.6198 Å, b = 6.9519 Å, c = 6.9519 Å
α = 36.38°, β = 90.00°, γ = 90.00°
Atoms (fractional coordinates):
Dy (0.0000, 0.0000, 0.0000)
Dy (0.5000, 0.4460, 0.4460)
Y (0.0000, 0.2758, 0.2758)
Ho (0.5000, 0.1702, 0.1702)
Ga (0.1968, 0.6247, 0.6247)
Ga (0.3041, 0.8211, 0.8211)
Ga (0.6959, 0.8211, 0.8211)
Ga (0.8032, 0.6247, 0.6247)

Record 8
First-principles (PBE) data for DyHoZn2Ga after structural relaxation, as listed in the Open Quantum Materials Database.

Computed properties:
magnetic moment = 0.0 μB/cell
SG = No. 38
final energy = -3.371 eV per atom

a = 3.5182 Å, b = 7.2045 Å, c = 7.2045 Å
α = 35.13°, β = 90.00°, γ = 90.00°
Atoms (fractional coordinates):
Dy (0.0000, 0.0000, 0.0000)
Ho (0.0000, 0.7613, 0.7613)
Zn (0.5000, 0.1806, 0.1806)
Zn (0.5000, 0.5816, 0.5816)
Ga (0.5000, 0.3803, 0.3803)